# Pm8SiRh3Br4

Pm8SiRh3Br4 after structural relaxation (PBE, the Alexandria database).

Computed properties:
DOS(E_F): 0.7324 states/eV per atom
Energy: -5.5320 eV per atom
E_form (uncorrected): -1576 kJ/mol of formula units
Size of the total moment: 0.00 μB per atom

Cell and atoms, written as CIF:
```
data_Pm8SiRh3Br4
_space_group_name_H-M_alt 'R -3 m'
_space_group_IT_number 166
_space_group_name_Hall '-R 3 2"'
_cell_length_a 8.3342
_cell_length_b 8.3342
_cell_length_c 22.9090
_cell_angle_alpha 90.00
_cell_angle_beta 90.00
_cell_angle_gamma 120.00
loop_
_atom_site_label
_atom_site_fract_x
_atom_site_fract_y
_atom_site_fract_z
_atom_site_occupancy
Pm1 0.0000 0.0000 0.2335 1
Pm2 0.0103 0.5052 0.7676 1
Si1 0.0000 0.0000 0.5000 1
Rh1 0.0000 0.5000 0.5000 1
Br1 0.0000 0.0000 0.0000 1
Br2 0.0000 0.5000 0.0000 1
```